Entry 1:
Below is RbPr2IrO5 after structural relaxation, with properties calculated at the GGA-PBE level.

Computed properties:
Calculated volume in Å³/cell: 288
Symmetry: P4/mbm
ΔE_f (raw) in kJ per mole of atoms: -212.2

```
RbPr2IrO5
1.0
6.9738 0.0000 0.0000
0.0000 6.9738 0.0000
0.0000 0.0000 5.9154
Rb Pr Ir O
2 4 2 10
direct
0.0000 0.0000 0.0000
0.5000 0.5000 0.0000
0.1797 0.3203 0.5000
0.3203 0.8203 0.5000
0.6797 0.1797 0.5000
0.8203 0.6797 0.5000
0.0000 0.5000 0.0000
0.5000 0.0000 0.0000
0.0000 0.0000 0.5000
0.1300 0.6300 0.2523
0.1300 0.6300 0.7477
0.3700 0.1300 0.2523
0.3700 0.1300 0.7477
0.5000 0.5000 0.5000
0.6300 0.8700 0.2523
0.6300 0.8700 0.7477
0.8700 0.3700 0.2523
0.8700 0.3700 0.7477
```

Entry 2:
Below is Rb2PrIrO6 after structural relaxation, with properties calculated at the GGA-PBE level.

Computed properties:
Calculated volume in Å³/cell: 160
Symmetry: Fm-3m
ΔE_f (raw) in kJ per mole of atoms: -156.1

```
Rb2PrIrO6
1.0
0.0000 4.3053 4.3053
4.3053 0.0000 4.3053
4.3053 4.3053 0.0000
Rb Pr Ir O
2 1 1 6
direct
0.2500 0.2500 0.2500
0.7500 0.7500 0.7500
0.0000 0.0000 0.0000
0.5000 0.5000 0.5000
0.2764 0.2764 0.7236
0.2764 0.7236 0.2764
0.2764 0.7236 0.7236
0.7236 0.2764 0.2764
0.7236 0.2764 0.7236
0.7236 0.7236 0.2764
```

Entry 3:
Below is Pr2IrRhO6 after structural relaxation, with properties calculated at the GGA-PBE level.

Computed properties:
Calculated volume in Å³/cell: 270
Symmetry: R-3m
ΔE_f (raw) in kJ per mole of atoms: -167.1

```
Pr2IrRhO6
1.0
2.7715 1.6001 10.1377
-2.7715 1.6001 10.1377
0.0000 -3.2003 10.1377
Pr Ir Rh O
4 2 2 12
direct
0.1157 0.1157 0.1157
0.2725 0.2725 0.2725
0.7275 0.7275 0.7275
0.8843 0.8843 0.8843
0.0000 0.0000 0.0000
0.5000 0.5000 0.5000
0.4100 0.4100 0.4100
0.5900 0.5900 0.5900
0.1263 0.6186 0.6186
0.1948 0.1948 0.7581
0.1948 0.7581 0.1948
0.2419 0.8052 0.8052
0.3814 0.3814 0.8737
0.3814 0.8737 0.3814
0.6186 0.1263 0.6186
0.6186 0.6186 0.1263
0.7581 0.1948 0.1948
0.8052 0.2419 0.8052
0.8052 0.8052 0.2419
0.8737 0.3814 0.3814
```

Entry 4:
Below is PrScIrO6 after structural relaxation, with properties calculated at the GGA-PBE level.

Computed properties:
Calculated volume in Å³/cell: 253
Symmetry: P-31c
ΔE_f (raw) in kJ per mole of atoms: -210.3

```
PrScIrO6
1.0
5.3352 0.0000 0.0000
-2.6676 4.6204 0.0000
0.0000 0.0000 10.2619
Pr Sc Ir O
2 2 2 12
direct
0.0000 0.0000 0.0000
0.0000 0.0000 0.5000
0.3333 0.6667 0.2500
0.6667 0.3333 0.7500
0.3333 0.6667 0.7500
0.6667 0.3333 0.2500
0.0223 0.3730 0.6424
0.0223 0.6493 0.8576
0.3507 0.3730 0.8576
0.3507 0.9777 0.6424
0.3730 0.0223 0.1424
0.3730 0.3507 0.3576
0.6270 0.6493 0.6424
0.6270 0.9777 0.8576
0.6493 0.0223 0.3576
0.6493 0.6270 0.1424
0.9777 0.3507 0.1424
0.9777 0.6270 0.3576
```

Entry 5:
Below is PrSc2IrO8 after structural relaxation, with properties calculated at the GGA-PBE level.

Computed properties:
Calculated volume in Å³/cell: 161
Symmetry: P2/m
ΔE_f (raw) in kJ per mole of atoms: -218.9

```
PrSc2IrO8
1.0
4.9060 0.0000 0.0000
0.0000 6.6857 0.0000
-0.1303 0.0000 4.9155
Pr Sc Ir O
1 2 1 8
direct
0.0000 0.0000 0.0000
0.5000 0.2417 0.5000
0.5000 0.7583 0.5000
0.0000 0.5000 0.0000
0.2008 0.2954 0.1972
0.2008 0.7046 0.1972
0.2713 0.5000 0.7255
0.3224 0.0000 0.6727
0.6776 0.0000 0.3273
0.7287 0.5000 0.2745
0.7992 0.2954 0.8028
0.7992 0.7046 0.8028
```

Entry 6:
Below is Pr2SmIrO8 after structural relaxation, with properties calculated at the GGA-PBE level.

Computed properties:
Calculated volume in Å³/cell: 192
Symmetry: P2/m
ΔE_f (raw) in kJ per mole of atoms: -213.7

```
Pr2SmIrO8
1.0
5.2227 0.0000 0.0000
0.0000 7.0297 0.0000
-0.0254 0.0000 5.2241
Pr Sm Ir O
2 1 1 8
direct
0.0000 0.2480 0.0000
0.0000 0.7520 0.0000
0.5000 0.5000 0.5000
0.5000 0.0000 0.5000
0.1949 0.5000 0.1926
0.2447 0.0000 0.2418
0.3217 0.2055 0.6761
0.3217 0.7945 0.6761
0.6783 0.2055 0.3239
0.6783 0.7945 0.3239
0.7553 0.0000 0.7582
0.8051 0.5000 0.8074
```

Entry 7:
Below is PrSmIrO6 after structural relaxation, with properties calculated at the GGA-PBE level.

Computed properties:
Calculated volume in Å³/cell: 273
Symmetry: P-31c
ΔE_f (raw) in kJ per mole of atoms: -204.4

```
PrSmIrO6
1.0
5.6367 0.0000 0.0000
-2.8184 4.8816 0.0000
0.0000 0.0000 9.9201
Pr Sm Ir O
2 2 2 12
direct
0.0000 0.0000 0.0000
0.0000 0.0000 0.5000
0.3333 0.6667 0.2500
0.6667 0.3333 0.7500
0.3333 0.6667 0.7500
0.6667 0.3333 0.2500
0.0489 0.3778 0.6378
0.0489 0.6711 0.8622
0.3289 0.3778 0.8622
0.3289 0.9511 0.6378
0.3778 0.0489 0.1378
0.3778 0.3289 0.3622
0.6222 0.6711 0.6378
0.6222 0.9511 0.8622
0.6711 0.0489 0.3622
0.6711 0.6222 0.1378
0.9511 0.3289 0.1378
0.9511 0.6222 0.3622
```

Entry 8:
Below is Sr2PrIrO8 after structural relaxation, with properties calculated at the GGA-PBE level.

Computed properties:
Calculated volume in Å³/cell: 179
Symmetry: P2/m
ΔE_f (raw) in kJ per mole of atoms: -170.5

```
Sr2PrIrO8
1.0
4.5043 0.0000 0.0000
0.0000 7.2371 0.0000
-0.2878 0.0000 5.4952
Sr Pr Ir O
2 1 1 8
direct
0.0000 0.2422 0.0000
0.0000 0.7578 0.0000
0.5000 0.5000 0.5000
0.5000 0.0000 0.5000
0.0215 0.5000 0.2697
0.0844 0.0000 0.3944
0.4538 0.1967 0.7347
0.4538 0.8033 0.7347
0.5462 0.1967 0.2653
0.5462 0.8033 0.2653
0.9156 0.0000 0.6056
0.9785 0.5000 0.7303
```